Below is BaCa2FeCl8 after structural relaxation, with properties calculated at the PBE level.

a b c (Å): 6.3616 8.4832 6.5086
angles (deg): 90.00 91.42 90.00
Fractional coordinates of all 12 atoms:
Ba  0.0000  0.0000  0.0000
Ca  0.5000  0.2680  0.5000
Ca  0.5000  0.7320  0.5000
Fe  0.0000  0.5000  0.0000
Cl  0.2199  0.2948  0.1682
Cl  0.2199  0.7052  0.1682
Cl  0.2648  0.5000  0.6876
Cl  0.2870  0.0000  0.6357
Cl  0.7130  0.0000  0.3643
Cl  0.7352  0.5000  0.3124
Cl  0.7801  0.2948  0.8318
Cl  0.7801  0.7052  0.8318

The total magnetization is 4.00 μB/cell. As for the raw formation energy: -23.24 eV per formula unit. For the uncorrected energy, the calculation gives -4.367 eV/atom. For the calculated volume, the calculation gives 29.26 Å³/atom.

=====

Below is MgZn2Sb after structural relaxation, with properties calculated at the PBE level.

a b c (Å): 4.9424 4.9424 5.5452
angles (deg): 98.78 98.78 38.38
Fractional coordinates of all 4 atoms:
Mg  0.0000  0.0000  0.0000
Zn  0.2549  0.2549  0.7987
Zn  0.7451  0.7451  0.2013
Sb  0.5000  0.5000  0.5000

The total magnetization is 0.00 μB/cell. As for the raw formation energy: 0.14 eV per formula unit. For the uncorrected energy, the calculation gives -2.032 eV/atom. For the calculated volume, the calculation gives 20.75 Å³/atom.

=====

Below is SmDy8Tm5 after structural relaxation, with properties calculated at the PBE level.

a b c (Å): 8.3834 8.3834 8.3834
angles (deg): 111.41 111.41 105.66
Fractional coordinates of all 14 atoms:
Sm  0.0000  0.0000  0.0000
Dy  0.0920  0.3303  0.4173
Dy  0.2794  0.1737  0.7536
Dy  0.3253  0.9080  0.2382
Dy  0.4201  0.5258  0.2464
Dy  0.4742  0.7206  0.8943
Dy  0.6697  0.0870  0.7618
Dy  0.8263  0.5799  0.1057
Dy  0.9130  0.6747  0.5827
Tm  0.0312  0.4357  0.8204
Tm  0.2500  0.7500  0.5000
Tm  0.5643  0.3847  0.5955
Tm  0.6153  0.2108  0.1796
Tm  0.7892  0.9688  0.4045

The total magnetization is 0.00 μB/cell. For the uncorrected energy, the calculation gives -4.311 eV/atom. For the calculated volume, the calculation gives 32.29 Å³/atom. The formation enthalpy at 0 K is 0.25 eV per atom.

=====

Below is TaCrAg2 after structural relaxation, with properties calculated at the PBE level.

a b c (Å): 9.5579 9.5579 9.5579
angles (deg): 17.49 17.49 17.49
Fractional coordinates of all 4 atoms:
Ta  0.0000  0.0000  0.0000
Cr  0.2568  0.2568  0.2568
Ag  0.5082  0.5082  0.5082
Ag  0.7547  0.7547  0.7547

The total magnetization is 2.71 μB/cell. For the uncorrected energy, the calculation gives -6.421 eV/atom. For the calculated volume, the calculation gives 17.21 Å³/atom. The formation enthalpy at 0 K is 0.37 eV per atom.

=====

Below is Sc4CoAg after structural relaxation, with properties calculated at the PBE level.

a b c (Å): 4.4336 4.4336 6.8187
angles (deg): 90.08 90.08 90.00
Fractional coordinates of all 6 atoms:
Sc  0.0006  0.5004  0.7834
Sc  0.5004  0.0006  0.7834
Sc  0.4996  0.9994  0.2166
Sc  0.9994  0.4996  0.2166
Co  0.0000  0.0000  0.0000
Ag  0.5000  0.5000  0.5000

The total magnetization is 0.00 μB/cell. For the uncorrected energy, the calculation gives -5.912 eV/atom. For the calculated volume, the calculation gives 22.34 Å³/atom. The formation enthalpy at 0 K is -0.03 eV per atom.

=====

Below is Ba2Cd3HgBi4 after structural relaxation, with properties calculated at the PBE level.

a b c (Å): 5.5557 5.5557 11.0409
angles (deg): 90.00 90.00 90.00
Fractional coordinates of all 10 atoms:
Ba  0.0000  0.5000  0.2503
Ba  0.5000  0.0000  0.7497
Cd  0.0000  0.0000  0.0000
Cd  0.0000  0.5000  0.6150
Cd  0.5000  0.0000  0.3850
Hg  0.5000  0.5000  0.0000
Bi  0.0000  0.0000  0.5000
Bi  0.0000  0.5000  0.8786
Bi  0.5000  0.0000  0.1214
Bi  0.5000  0.5000  0.5000

The total magnetization is 0.00 μB/cell. For the uncorrected energy, the calculation gives -2.612 eV/atom. For the calculated volume, the calculation gives 34.08 Å³/atom. The formation enthalpy at 0 K is -0.37 eV per atom.

=====

Below is Tb3PrPb2 after structural relaxation, with properties calculated at the PBE level.

a b c (Å): 9.1153 9.1153 9.1153
angles (deg): 131.24 71.60 131.03
Fractional coordinates of all 12 atoms:
Tb  0.0399  0.7500  0.2899
Tb  0.2500  0.2500  0.0000
Tb  0.4601  0.7500  0.7101
Tb  0.5399  0.2500  0.2899
Tb  0.7500  0.7500  0.0000
Tb  0.9601  0.2500  0.7101
Pr  0.0000  0.5000  0.5000
Pr  0.5000  0.0000  0.5000
Pb  0.1438  0.1778  0.3216
Pb  0.3562  0.6778  0.0340
Pb  0.6438  0.3222  0.9660
Pb  0.8562  0.8222  0.6784

The total magnetization is 0.00 μB/cell. For the uncorrected energy, the calculation gives -4.519 eV/atom. For the calculated volume, the calculation gives 35.03 Å³/atom. The formation enthalpy at 0 K is -0.17 eV per atom.

=====

Below is Cr2MoPd after structural relaxation, with properties calculated at the PBE level.

a b c (Å): 3.1089 3.1089 5.9358
angles (deg): 90.00 90.00 90.00
Fractional coordinates of all 4 atoms:
Cr  0.0000  0.0000  0.2365
Cr  0.0000  0.0000  0.7635
Mo  0.5000  0.5000  0.0000
Pd  0.5000  0.5000  0.5000

The total magnetization is 3.76 μB/cell. For the uncorrected energy, the calculation gives -8.654 eV/atom. For the calculated volume, the calculation gives 14.34 Å³/atom. The formation enthalpy at 0 K is 0.16 eV per atom.

=====

Below is Nd2MgGa4Rh3 after structural relaxation, with properties calculated at the PBE level.

a b c (Å): 4.1162 4.1162 11.4177
angles (deg): 90.00 90.00 90.00
Fractional coordinates of all 10 atoms:
Nd  0.0000  0.5000  0.2336
Nd  0.5000  0.0000  0.7664
Mg  0.0000  0.0000  0.5000
Ga  0.0000  0.0000  0.0000
Ga  0.0000  0.5000  0.6454
Ga  0.5000  0.0000  0.3546
Ga  0.5000  0.5000  0.0000
Rh  0.0000  0.5000  0.8682
Rh  0.5000  0.0000  0.1318
Rh  0.5000  0.5000  0.5000

The total magnetization is 0.00 μB/cell. For the uncorrected energy, the calculation gives -5.207 eV/atom. For the calculated volume, the calculation gives 19.35 Å³/atom. The formation enthalpy at 0 K is -0.68 eV per atom.

=====

Below is Cu4Hg3 after structural relaxation, with properties calculated at the PBE level.

a b c (Å): 5.2447 5.2447 5.2447
angles (deg): 90.00 90.00 90.00
Fractional coordinates of all 7 atoms:
Cu  0.0000  0.0000  0.0000
Cu  0.0000  0.5000  0.5000
Cu  0.5000  0.0000  0.5000
Cu  0.5000  0.5000  0.0000
Hg  0.0000  0.0000  0.5000
Hg  0.0000  0.5000  0.0000
Hg  0.5000  0.0000  0.0000

The total magnetization is 0.00 μB/cell. For the uncorrected energy, the calculation gives -1.959 eV/atom. For the calculated volume, the calculation gives 20.61 Å³/atom. The formation enthalpy at 0 K is 0.51 eV per atom.

=====

Below is LiPuInAg after structural relaxation, with properties calculated at the PBE level.

a b c (Å): 3.1954 3.1954 8.0868
angles (deg): 90.00 90.00 90.00
Fractional coordinates of all 4 atoms:
Li  0.0000  0.0000  0.0000
Pu  0.0000  0.0000  0.5271
In  0.5000  0.5000  0.2249
Ag  0.5000  0.5000  0.8148

The total magnetization is 5.78 μB/cell. For the uncorrected energy, the calculation gives -5.612 eV/atom. For the calculated volume, the calculation gives 20.64 Å³/atom. The formation enthalpy at 0 K is -0.15 eV per atom.

=====

Below is SrFeSe2 after structural relaxation, with properties calculated at the PBE level.

a b c (Å): 5.4057 5.4057 5.4057
angles (deg): 138.81 109.76 84.80
Fractional coordinates of all 4 atoms:
Sr  0.0000  0.0000  0.0000
Fe  0.5000  0.5000  0.0000
Se  0.3129  0.8129  0.5000
Se  0.6871  0.1871  0.5000

The total magnetization is 2.01 μB/cell. As for the raw formation energy: -3.05 eV per formula unit. For the uncorrected energy, the calculation gives -5.041 eV/atom. For the calculated volume, the calculation gives 23.60 Å³/atom.

=====

Q: Which formula does entry 1 have?
A: BaCa2FeCl8